Below is a PBEsol-optimized structure of LiAgSe2, with properties calculated at the SCAN level.

Lattice parameters (Å, degrees): 4.1651 7.1011 7.1011 22.64 90.00 90.00
With the nearest neighbours (Å) after each atom.
Atoms (fractional coordinates):
Li 0.0000 0.0000 0.0000  6 Se 2.65-2.75, 2 Li 2.79
Ag 0.5000 0.7491 0.7491  5 Se 2.62-2.75, 2 Ag 2.79
Se 0.0000 0.3297 0.3297  4 Ag 2.75, 2 Li 2.75, 2 Se 2.79
Se 0.5000 0.5613 0.5613  1 Ag 2.62, 4 Li 2.65, 2 Se 2.79

Properties
The uncorrected formation energy comes out at -0.471 eV/atom. For the total energy, the calculation gives -18.949 eV/atom.